Record 1
The following is a DFT calculation (PBE) of BaLiCdAg after structural relaxation.

It has space group Cm (No. 8), with a = 8.3988 Å, b = 4.8583 Å, c = 6.4521 Å, α = 90.00°, β = 115.60° and γ = 90.00°. The inequivalent atoms are Ba at (0.0000, 0.0000, 0.0000), Li at (0.4928, 0.0000, 0.4774), Cd at (0.1991, 0.0000, 0.5961) and Ag at (0.3046, 0.5000, 0.4123).

Its formation energy is -1.0 eV per formula unit. As for the excess energy over the best structure of this formula in the dataset: 0.000 eV/f.u. For the total energy, the calculation gives -8.62 eV/f.u. The calculation puts the calculated volume at 29.7 Å³/atom.


Record 2
The following is a DFT calculation (PBE) of Ti4Pd4Au after structural relaxation.

It has space group I4/mmm (No. 139), with a = 8.4659 Å, b = 8.4659 Å, c = 4.0032 Å, α = 90.00°, β = 90.00° and γ = 90.00°. The inequivalent atoms are Ti at (0.0000, 0.3301, 0.0000), Pd at (0.1706, 0.1706, 0.5000) and Au at (0.0000, 0.0000, 0.0000).

Its formation energy is -4.3 eV per formula unit. For the total energy, the calculation gives -59.90 eV/f.u. The calculation puts the calculated volume at 15.9 Å³/atom.


Record 3
The following is a DFT calculation (PBE) of Dy4HoHg after structural relaxation.

It has space group C2/c (No. 15), with a = 8.6917 Å, b = 13.8718 Å, c = 6.3408 Å, α = 90.00°, β = 108.81° and γ = 90.00°. The inequivalent atoms are Dy at (0.0988, 0.1887, 0.0446), Dy at (0.2173, 0.3805, 0.3766), Ho at (0.0000, 0.4071, 0.7500) and Hg at (0.0000, 0.0007, 0.7500).

Its formation energy is -0.3 eV per formula unit. As for the excess energy over the best structure of this formula in the dataset: 0.591 eV/f.u. For the total energy, the calculation gives -23.56 eV/f.u. The calculation puts the calculated volume at 30.2 Å³/atom.


Record 4
The following is a DFT calculation (PBE) of SbI2BrCl after structural relaxation.

It has space group P4/mmm (No. 123), with a = 5.8533 Å, b = 5.8533 Å, c = 5.7873 Å, α = 90.00°, β = 90.00° and γ = 90.00°. The inequivalent atoms are Sb at (0.0000, 0.0000, 0.0000), I at (0.0000, 0.5000, 0.5000), Br at (0.0000, 0.0000, 0.5000) and Cl at (0.5000, 0.5000, 0.0000).

As for the excess energy over the best structure of this formula in the dataset: 0.124 eV/f.u. For the total energy, the calculation gives -7.80 eV/f.u. The uncorrected formation energy is 2.9 eV per formula unit. The calculation puts the calculated volume at 39.7 Å³/atom.